A relaxed structure of AlNi3Hg. Source: the Alexandria database, functional PBE.

Its energy above the most stable polymorph in this dataset is 704 meV per atom.

The structure belongs to space group Pm-3m (No. 221); the cell edges are 4.6864, 4.6864 and 4.6864 Å and the angles 90.00°, 90.00° and 90.00°. The asymmetric unit holds Al at (0.0000, 0.0000, 0.0000), Ni at (0.0000, 0.5000, 0.5000) and Hg at (0.5000, 0.5000, 0.5000).


A relaxed structure of Al4NiHg. Source: the Alexandria database, functional PBE.

The structure belongs to space group F-43m (No. 216); the cell edges are 7.4633, 7.4633 and 7.4633 Å and the angles 90.00°, 90.00° and 90.00°. The asymmetric unit holds Al at (0.1243, 0.1243, 0.1243), Ni at (0.2500, 0.2500, 0.7500) and Hg at (0.0000, 0.0000, 0.5000).


A relaxed structure of Al2NiHg. Source: the Alexandria database, functional PBE.

The structure belongs to space group I-4m2 (No. 119); the cell edges are 3.9345, 3.9345 and 8.1314 Å and the angles 90.00°, 90.00° and 90.00°. The asymmetric unit holds Al at (0.0000, 0.0000, 0.0000), Al at (0.0000, 0.5000, 0.2500), Ni at (0.0000, 0.0000, 0.5000) and Hg at (0.0000, 0.5000, 0.7500).


A relaxed structure of Al2NiHg. Source: the Alexandria database, functional PBE.

The structure belongs to space group P4/mmm (No. 123); the cell edges are 4.0693, 4.0693 and 3.7771 Å and the angles 90.00°, 90.00° and 90.00°. The asymmetric unit holds Al at (0.0000, 0.5000, 0.0000), Ni at (0.0000, 0.0000, 0.5000) and Hg at (0.5000, 0.5000, 0.5000).


A relaxed structure of Al2NiHg. Source: the Alexandria database, functional PBE.

The structure belongs to space group P4mm (No. 99); the cell edges are 3.3264, 3.3264 and 5.8001 Å and the angles 90.00°, 90.00° and 90.00°. The asymmetric unit holds Al at (0.0000, 0.0000, 0.0000), Al at (0.5000, 0.5000, 0.2681), Ni at (0.5000, 0.5000, 0.8497) and Hg at (0.0000, 0.0000, 0.5364).


A relaxed structure of Al2Ni2Hg. Source: the Alexandria database, functional PBE.

Its energy above the most stable polymorph in this dataset is 0 meV per atom.

The structure belongs to space group P4/mbm (No. 127); the cell edges are 6.9881, 6.9881 and 2.9368 Å and the angles 90.00°, 90.00° and 90.00°. The asymmetric unit holds Al at (0.1479, 0.3521, 0.0000), Ni at (0.1419, 0.6419, 0.5000) and Hg at (0.0000, 0.0000, 0.5000).


Calculated values (meV/atom) of ΔH_f (0 K) for the records, taken in order: 1265, 292, 19, 25, -62, -321.
Calculated values (μB/atom) of total magnetic moment for the records, taken in order: 0.0000, 0.0000, 0.0000, 0.0000, 0.0000, 0.0000.